Entry from Alexandria: SrZn3Ir at its PBEsol-relaxed geometry (SCAN).

Computed properties:
calculated volume: 202 Å³/cell
energy above the most stable polymorph in this dataset: 0.000 eV per atom
calculated formation energy: -0.417 eV/atom
final energy: -27.20 eV/atom

abc: 6.339 6.339 5.027
angles: 90.00 90.00 90.00
Space group P4/nmm (No. 129, origin choice 2)
Symmetry-distinct sites (fractional):
Sr 0.250 0.750 0.000 x2
Zn 0.000 0.000 0.500 x4
Zn 0.250 0.250 0.184 x2
Ir 0.250 0.250 0.697 x2